{
  "formula": "Cs3CeAg2I9",
  "functional": "PBE-GGA",
  "state": "relaxed",
  "m_tot_mub_per_cell": 0.2,
  "e_form_raw_ev_per_atom": -1.064,
  "dft_energy_ev_per_cell": -44.1,
  "dos_ef_per_ev_cell": 7.1,
  "cell": [[8.619, 0.000, 0.000], [-4.310, 7.464, 0.000], [0.000, 0.000, 10.608]],
  "species": ["Cs", "Cs", "Cs", "Ce", "Ag", "Ag", "I", "I", "I", "I", "I", "I", "I", "I", "I"],
  "fractional_positions": [[0.000, 0.000, 0.000], [0.333, 0.667, 0.702], [0.667, 0.333, 0.298], [0.000, 0.000, 0.500], [0.333, 0.667, 0.141], [0.667, 0.333, 0.859], [0.000, 0.500, 0.000], [0.168, 0.335, 0.335], [0.168, 0.832, 0.335], [0.335, 0.168, 0.665], [0.500, 0.000, 0.000], [0.500, 0.500, 0.000], [0.665, 0.832, 0.335], [0.832, 0.168, 0.665], [0.832, 0.665, 0.665]]
}

---

{
  "formula": "V4CrRe3",
  "functional": "PBE-GGA",
  "state": "relaxed",
  "e_form_ev_per_atom": -0.06,
  "m_tot_mub_per_cell": 0.0,
  "e_above_lowest_polymorph_mev_per_atom": 239.3,
  "dft_energy_ev_per_cell": -167.9,
  "dos_ef_per_ev_cell": 10.6,
  "cell": [[8.554, 0.000, 0.000], [0.000, 5.101, 0.000], [0.000, 0.000, 5.138]],
  "species": ["V", "V", "V", "V", "V", "V", "V", "V", "Cr", "Cr", "Re", "Re", "Re", "Re", "Re", "Re"],
  "fractional_positions": [[0.000, 0.246, 0.000], [0.000, 0.754, 0.498], [0.247, 0.915, 0.247], [0.253, 0.085, 0.747], [0.500, 0.246, 0.998], [0.500, 0.754, 0.500], [0.747, 0.085, 0.747], [0.753, 0.915, 0.247], [0.000, 0.756, 0.998], [0.500, 0.244, 0.498], [0.000, 0.246, 0.500], [0.247, 0.591, 0.750], [0.253, 0.409, 0.250], [0.500, 0.754, 0.000], [0.747, 0.409, 0.250], [0.753, 0.591, 0.750]]
}